1.
## Y4InPbN (PBE)

Data for crystalline Y4InPbN at its relaxed geometry.

The value obtained for the formation energy (no corrections) is -19.456 kcal/mol of atoms. The value obtained for the uncorrected energy is -6.648 eV per atom. As for the space group: No. 63. The calculation puts the magnetization at 0.00 μB per atom.

Lattice parameters (Å, degrees): 6.693 6.693 8.751 90.00 112.48 90.00
Fractional coordinates of all 14 atoms:
In  0.390  0.250  0.779
In  0.610  0.750  0.221
N  0.249  0.750  0.498
N  0.751  0.250  0.502
Y  0.091  0.750  0.183
Y  0.000  0.500  0.500
Y  0.909  0.250  0.817
Y  0.500  0.500  0.500
Y  0.588  0.250  0.176
Y  0.000  0.000  0.500
Y  0.412  0.750  0.824
Y  0.500  0.000  0.500
Pb  0.893  0.750  0.787
Pb  0.107  0.250  0.213



2.
## Mo2AsP (PBE)

Data for crystalline Mo2AsP at its relaxed geometry.

The calculated formation energy comes out at 0.419 eV/atom. The distance to the lowest polymorph of the same formula is 79.7 kJ per mole of atoms. The value obtained for the uncorrected energy is -7.512 eV per atom. As for the space group: No. 122. The calculation puts the magnetization at 0.50 μB per atom.

Lattice parameters (Å, degrees): 5.521 5.521 6.829 66.16 66.16 90.00
Each line ends with the local moment (μB).
Fractional coordinates of all 8 atoms:
P  0.250  0.750  0.500  -0.05
P  0.500  0.500  0.000  -0.05
Mo  0.145  0.625  0.250  0.97
Mo  0.875  0.855  0.750  0.98
Mo  0.375  0.395  0.750  0.96
Mo  0.605  0.125  0.250  0.97
As  0.000  0.000  0.000  -0.05
As  0.750  0.250  0.500  -0.05



3.
## In2CoSe (PBE)

Data for crystalline In2CoSe at its relaxed geometry.

The value obtained for the formation energy (no corrections) is -0.832 kcal/mol of atoms. The value obtained for the uncorrected energy is -4.053 eV per atom. As for the space group: No. 8. The calculation puts the magnetization at 0.00 μB per atom.

Lattice parameters (Å, degrees): 5.079 5.079 6.031 68.44 68.44 36.53
Fractional coordinates of all 4 atoms:
In  0.939  0.939  0.119
In  0.756  0.756  0.771
Se  0.600  0.600  0.454
Co  0.205  0.205  0.156



4.
## PaCuPb (PBE)

Data for crystalline PaCuPb at its relaxed geometry.

The calculated formation energy comes out at 0.125 eV/atom. The distance to the lowest polymorph of the same formula is 2.3 kJ per mole of atoms. The value obtained for the uncorrected energy is -5.642 eV per atom. As for the space group: No. 216. The calculation puts the magnetization at 0.00 μB per atom.

Lattice parameters (Å, degrees): 4.672 4.672 4.672 60.00 60.00 60.00
Fractional coordinates of all 3 atoms:
Pb  0.000  0.000  0.000
Cu  0.250  0.250  0.250
Pa  0.500  0.500  0.500



5.
## LaBiSb2 (PBE)

Data for crystalline LaBiSb2 at its relaxed geometry.

The value obtained for the formation energy (no corrections) is -12.147 kcal/mol of atoms. The value obtained for the uncorrected energy is -4.790 eV per atom. As for the space group: No. 166. The calculation puts the magnetization at 0.00 μB per atom.

Lattice parameters (Å, degrees): 4.586 4.586 7.944 73.22 73.22 60.00
Fractional coordinates of all 4 atoms:
Bi  0.000  0.000  0.000
Sb  0.748  0.748  0.755
Sb  0.252  0.252  0.245
La  0.500  0.500  0.500



6.
## Hf2ScHg (PBE)

Data for crystalline Hf2ScHg at its relaxed geometry.

The calculated formation energy comes out at -0.040 eV/atom. The value obtained for the uncorrected energy is -6.675 eV per atom. As for the space group: No. 123. The calculation puts the magnetization at 0.00 μB per atom.

Lattice parameters (Å, degrees): 4.532 4.358 4.358 90.00 90.00 90.00
Fractional coordinates of all 4 atoms:
Hf  0.000  0.000  0.500
Hf  0.000  0.500  0.000
Hg  0.500  0.000  0.000
Sc  0.500  0.500  0.500